(1)
Computed, not measured: Zr2UTl after structural relaxation at the PBE level of DFT.

Calculated values
Spin magnetization (μB/cell): 2.0
Symmetry: No. 166
Energy relative to the lowest polymorph listed for this composition (kJ/mol of atoms): 5.27

Unit cell a=10.4692 b=10.4692 c=10.4692 alpha=17.97 beta=17.97 gamma=17.97
Positions (direct):
Zr  0.2501  0.2501  0.2501
Zr  0.7499  0.7499  0.7499
U  0.0000  0.0000  0.0000
Tl  0.5000  0.5000  0.5000



(2)
Computed, not measured: ZrUTl after structural relaxation at the PBE level of DFT.

Calculated values
Spin magnetization (μB/cell): 0.0
Symmetry: No. 139

Unit cell a=13.0797 b=13.0797 c=13.0797 alpha=165.11 beta=165.11 gamma=21.12
Positions (direct):
Zr  0.1426  0.1426  0.0000
Zr  0.8574  0.8574  0.0000
U  0.2742  0.2742  0.0000
U  0.7258  0.7258  0.0000
Tl  0.4415  0.4415  0.0000
Tl  0.5585  0.5585  0.0000



(3)
Computed, not measured: TlV after structural relaxation at the PBE level of DFT.

Calculated values
Spin magnetization (μB/cell): 22.4
Symmetry: No. 223

Unit cell a=7.8852 b=7.8852 c=7.8852 alpha=90.00 beta=90.00 gamma=90.00
Positions (direct):
Tl  0.0000  0.2500  0.5000
Tl  0.0000  0.7500  0.5000
Tl  0.2500  0.5000  0.0000
Tl  0.5000  0.0000  0.2500
Tl  0.5000  0.0000  0.7500
Tl  0.7500  0.5000  0.0000
V  0.0000  0.5000  0.2500
V  0.0000  0.5000  0.7500
V  0.2500  0.0000  0.5000
V  0.5000  0.2500  0.0000
V  0.5000  0.7500  0.0000
V  0.7500  0.0000  0.5000



(4)
Computed, not measured: TlV after structural relaxation at the PBE level of DFT.

Calculated values
Spin magnetization (μB/cell): 1.6
Symmetry: No. 136

Unit cell a=5.5084 b=5.5084 c=5.5761 alpha=90.00 beta=90.00 gamma=90.00
Positions (direct):
Tl  0.1841  0.1841  0.0000
Tl  0.3159  0.6841  0.5000
Tl  0.6841  0.3159  0.5000
Tl  0.8159  0.8159  0.0000
V  0.1540  0.1540  0.5000
V  0.3460  0.6540  0.0000
V  0.6540  0.3460  0.0000
V  0.8460  0.8460  0.5000



(5)
Computed, not measured: TlV4 after structural relaxation at the PBE level of DFT.

Calculated values
Spin magnetization (μB/cell): 12.8
Symmetry: No. 221

Unit cell a=5.0781 b=5.0781 c=5.0781 alpha=90.00 beta=90.00 gamma=90.00
Positions (direct):
Tl  0.0000  0.0000  0.0000
V  0.0000  0.0000  0.5000
V  0.0000  0.5000  0.0000
V  0.5000  0.0000  0.0000
V  0.5000  0.5000  0.5000



(6)
Computed, not measured: TlV after structural relaxation at the PBE level of DFT.

Calculated values
Spin magnetization (μB/cell): 0.0
Symmetry: No. 225

Unit cell a=3.8974 b=3.8974 c=3.8974 alpha=60.00 beta=60.00 gamma=60.00
Positions (direct):
Tl  0.0000  0.0000  0.0000
V  0.5000  0.5000  0.5000



(7)
Computed, not measured: TlV after structural relaxation at the PBE level of DFT.

Calculated values
Spin magnetization (μB/cell): 0.0
Symmetry: No. 194

Unit cell a=4.6663 b=4.6663 c=5.4233 alpha=90.00 beta=90.00 gamma=120.00
Positions (direct):
Tl  0.3333  0.6667  0.2500
Tl  0.6667  0.3333  0.7500
V  0.3333  0.6667  0.7500
V  0.6667  0.3333  0.2500



(8)
Computed, not measured: TlV after structural relaxation at the PBE level of DFT.

Calculated values
Spin magnetization (μB/cell): 3.7
Symmetry: No. 216

Unit cell a=4.5280 b=4.5280 c=4.5280 alpha=60.00 beta=60.00 gamma=60.00
Positions (direct):
Tl  0.0000  0.0000  0.0000
V  0.2500  0.2500  0.2500



(9)
Computed, not measured: TlV after structural relaxation at the PBE level of DFT.

Calculated values
Spin magnetization (μB/cell): 0.5
Symmetry: No. 38

Unit cell a=3.0196 b=7.0223 c=7.0223 alpha=120.77 beta=90.00 gamma=90.00
Positions (direct):
Tl  0.0000  0.0000  0.0000
Tl  0.5000  0.0909  0.5731
Tl  0.5000  0.5731  0.0909
V  0.0000  0.5107  0.7006
V  0.0000  0.7006  0.5107
V  0.5000  0.3783  0.3783



(10)
Computed, not measured: TlV after structural relaxation at the PBE level of DFT.

Calculated values
Spin magnetization (μB/cell): 0.0
Symmetry: No. 217

Unit cell a=7.2113 b=7.2113 c=7.2113 alpha=109.47 beta=109.47 gamma=109.47
Positions (direct):
Tl  0.0000  0.0000  0.4210
Tl  0.0000  0.4210  0.0000
Tl  0.4210  0.0000  0.0000
Tl  0.5790  0.5790  0.5790
V  0.0000  0.0000  0.8003
V  0.0000  0.8003  0.0000
V  0.1997  0.1997  0.1997
V  0.8003  0.0000  0.0000



(11)
Computed, not measured: TlV after structural relaxation at the PBE level of DFT.

Calculated values
Spin magnetization (μB/cell): 0.0
Symmetry: No. 71

Unit cell a=7.2697 b=7.2697 c=7.2697 alpha=147.80 beta=139.72 gamma=52.48
Positions (direct):
Tl  0.0000  0.0000  0.0000
Tl  0.2426  0.2426  0.0000
Tl  0.7574  0.7574  0.0000
V  0.4040  0.9040  0.5000
V  0.5000  0.5000  0.0000
V  0.5960  0.0960  0.5000



(12)
Computed, not measured: TlV after structural relaxation at the PBE level of DFT.

Calculated values
Spin magnetization (μB/cell): 0.0
Symmetry: No. 83

Unit cell a=10.3922 b=10.3922 c=3.1750 alpha=90.00 beta=90.00 gamma=90.00
Positions (direct):
Tl  0.1215  0.1804  0.0000
Tl  0.1804  0.8785  0.0000
Tl  0.3231  0.6252  0.5000
Tl  0.3748  0.3231  0.5000
Tl  0.6252  0.6769  0.5000
Tl  0.6769  0.3748  0.5000
Tl  0.8196  0.1215  0.0000
Tl  0.8785  0.8196  0.0000
V  0.0662  0.6115  0.0000
V  0.1176  0.4405  0.5000
V  0.3885  0.0662  0.0000
V  0.4405  0.8824  0.5000
V  0.5595  0.1176  0.5000
V  0.6115  0.9338  0.0000
V  0.8824  0.5595  0.5000
V  0.9338  0.3885  0.0000



(13)
Computed, not measured: TlV after structural relaxation at the PBE level of DFT.

Calculated values
Spin magnetization (μB/cell): 3.0
Symmetry: No. 194

Unit cell a=8.2203 b=8.2203 c=4.5933 alpha=90.00 beta=90.00 gamma=120.00
Positions (direct):
Tl  0.1973  0.3946  0.2500
Tl  0.1973  0.8027  0.2500
Tl  0.3946  0.1973  0.7500
Tl  0.6054  0.8027  0.2500
Tl  0.8027  0.1973  0.7500
Tl  0.8027  0.6054  0.7500
V  0.1323  0.5661  0.7500
V  0.4339  0.5661  0.7500
V  0.4339  0.8677  0.7500
V  0.5661  0.1323  0.2500
V  0.5661  0.4339  0.2500
V  0.8677  0.4339  0.2500



(14)
Computed, not measured: TlV after structural relaxation at the PBE level of DFT.

Calculated values
Spin magnetization (μB/cell): 0.0
Symmetry: No. 139

Unit cell a=6.7564 b=6.7564 c=6.7564 alpha=95.48 beta=95.48 gamma=143.99
Positions (direct):
Tl  0.0000  0.2733  0.2733
Tl  0.0000  0.7267  0.7267
Tl  0.2733  0.0000  0.2733
Tl  0.7267  0.0000  0.7267
V  0.3082  0.3082  0.6163
V  0.3082  0.6918  0.0000
V  0.6918  0.3082  0.0000
V  0.6918  0.6918  0.3837



(15)
Computed, not measured: TlV after structural relaxation at the PBE level of DFT.

Calculated values
Spin magnetization (μB/cell): 0.0
Symmetry: No. 70

Unit cell a=8.2229 b=7.2962 c=5.3761 alpha=79.33 beta=60.69 gamma=39.98
Positions (direct):
Tl  0.0382  0.7118  0.0382
Tl  0.2882  0.9618  0.2882
Tl  0.7118  0.0382  0.7118
Tl  0.9618  0.2882  0.9618
V  0.3064  0.3064  0.4436
V  0.4436  0.4436  0.3064
V  0.5564  0.5564  0.6936
V  0.6936  0.6936  0.5564



(16)
Computed, not measured: TlV after structural relaxation at the PBE level of DFT.

Calculated values
Spin magnetization (μB/cell): 0.0
Symmetry: No. 19

Unit cell a=6.2101 b=6.6118 c=8.2180 alpha=90.00 beta=90.00 gamma=90.00
Positions (direct):
Tl  0.1029  0.1255  0.2345
Tl  0.1368  0.4082  0.9099
Tl  0.3632  0.5918  0.4099
Tl  0.3971  0.8745  0.7345
Tl  0.6029  0.3745  0.7655
Tl  0.6368  0.0918  0.0901
Tl  0.8632  0.9082  0.5901
Tl  0.8971  0.6255  0.2655
V  0.0241  0.9700  0.9098
V  0.1701  0.2402  0.5676
V  0.3299  0.7598  0.0676
V  0.4759  0.0300  0.4098
V  0.5241  0.5300  0.0902
V  0.6701  0.2598  0.4324
V  0.8299  0.7402  0.9324
V  0.9759  0.4700  0.5902



(17)
Computed, not measured: TlV5 after structural relaxation at the PBE level of DFT.

Calculated values
Spin magnetization (μB/cell): 0.0
Symmetry: No. 65

Unit cell a=6.6811 b=6.6811 c=3.1704 alpha=90.00 beta=90.00 gamma=140.68
Positions (direct):
Tl  0.0000  0.0000  0.0000
V  0.1869  0.8131  0.5000
V  0.3358  0.6642  0.0000
V  0.5000  0.5000  0.5000
V  0.6642  0.3358  0.0000
V  0.8131  0.1869  0.5000



(18)
Computed, not measured: TlV4W2 after structural relaxation at the PBE level of DFT.

Calculated values
Spin magnetization (μB/cell): 4.4
Symmetry: No. 139

Unit cell a=7.1351 b=7.1351 c=7.1351 alpha=140.23 beta=140.23 gamma=57.51
Positions (direct):
Tl  0.0000  0.0000  0.0000
V  0.0000  0.5000  0.5000
V  0.2113  0.2113  0.0000
V  0.5000  0.0000  0.5000
V  0.7887  0.7887  0.0000
W  0.3951  0.3951  0.0000
W  0.6049  0.6049  0.0000



(19)
Computed, not measured: Tl2VW after structural relaxation at the PBE level of DFT.

Calculated values
Spin magnetization (μB/cell): 0.7
Symmetry: No. 225
Energy relative to the lowest polymorph listed for this composition (kJ/mol of atoms): 0.00

Unit cell a=4.7870 b=4.7870 c=4.7870 alpha=60.00 beta=60.00 gamma=60.00
Positions (direct):
Tl  0.2500  0.2500  0.2500
Tl  0.7500  0.7500  0.7500
V  0.0000  0.0000  0.0000
W  0.5000  0.5000  0.5000



(20)
Computed, not measured: TlV2W after structural relaxation at the PBE level of DFT.

Calculated values
Spin magnetization (μB/cell): 1.4
Symmetry: No. 225
Energy relative to the lowest polymorph listed for this composition (kJ/mol of atoms): 0.00

Unit cell a=4.5108 b=4.5108 c=4.5108 alpha=60.00 beta=60.00 gamma=60.00
Positions (direct):
Tl  0.0000  0.0000  0.0000
V  0.2500  0.2500  0.2500
V  0.7500  0.7500  0.7500
W  0.5000  0.5000  0.5000



(21)
Computed, not measured: TlV3W after structural relaxation at the PBE level of DFT.

Calculated values
Spin magnetization (μB/cell): 5.5
Symmetry: No. 221
Energy relative to the lowest polymorph listed for this composition (kJ/mol of atoms): 111.14

Unit cell a=4.8904 b=4.8904 c=4.8904 alpha=90.00 beta=90.00 gamma=90.00
Positions (direct):
Tl  0.0000  0.0000  0.0000
V  0.0000  0.0000  0.5000
V  0.0000  0.5000  0.0000
V  0.5000  0.0000  0.0000
W  0.5000  0.5000  0.5000



(22)
Computed, not measured: Tl2VW after structural relaxation at the PBE level of DFT.

Calculated values
Spin magnetization (μB/cell): 2.8
Symmetry: No. 122
Energy relative to the lowest polymorph listed for this composition (kJ/mol of atoms): 28.53

Unit cell a=6.1297 b=6.1297 c=6.1297 alpha=102.92 beta=102.92 gamma=123.56
Positions (direct):
Tl  0.1201  0.6250  0.9951
Tl  0.3750  0.3701  0.4951
Tl  0.6299  0.1250  0.0049
Tl  0.8750  0.8799  0.5049
V  0.0000  0.0000  0.0000
V  0.7500  0.2500  0.5000
W  0.2500  0.7500  0.5000
W  0.5000  0.5000  0.0000



no.,DFT formation energy (eV per atom)
1,0.193
2,0.124
3,1.635
4,0.954
5,2.136
6,1.023
7,1.345
8,1.560
9,0.420
10,0.995
11,0.652
12,0.378
13,0.552
14,0.603
15,0.759
16,0.606
17,0.192
18,1.835
19,1.005
20,0.454
21,2.424
22,1.301